Version w
Computed, not measured: a relaxed Sr2VSnO6 crystal at the PBE with a Hubbard U level of DFT.

```
Sr2VSnO6
1.0
5.6651 0.0000 0.0000
0.0000 5.6580 0.0000
-5.6180 0.0000 8.0528
Sr V Sn O
4 2 2 12
direct
0.2454 0.0178 0.2490
0.2454 0.4822 0.7490
0.7546 0.5178 0.2510
0.7546 0.9822 0.7510
0.0000 0.0000 0.5000
0.0000 0.5000 0.0000
0.5000 0.0000 0.0000
0.5000 0.5000 0.5000
0.1905 0.2304 0.9670
0.1905 0.2696 0.4670
0.2301 0.7161 0.9724
0.2301 0.7839 0.4724
0.3041 0.0091 0.7461
0.3041 0.4909 0.2461
0.6959 0.5091 0.7539
0.6959 0.9909 0.2539
0.7699 0.2161 0.5276
0.7699 0.2839 0.0276
0.8095 0.7304 0.5330
0.8095 0.7696 0.0330
```

Calculated values
Volume, Å³/atom: 12.91


Version x
Computed, not measured: a relaxed Sr2VSnO6 crystal at the PBE with a Hubbard U level of DFT.

```
Sr2VSnO6
1.0
0.0000 4.0133 4.0133
4.0133 0.0000 4.0133
4.0133 4.0133 0.0000
Sr V Sn O
2 1 1 6
direct
0.2500 0.2500 0.2500
0.7500 0.7500 0.7500
0.0000 0.0000 0.0000
0.5000 0.5000 0.5000
0.2437 0.2437 0.7563
0.2437 0.7563 0.2437
0.2437 0.7563 0.7563
0.7563 0.2437 0.2437
0.7563 0.2437 0.7563
0.7563 0.7563 0.2437
```

Calculated values
Volume, Å³/atom: 12.93


Stability ranking, top and bottom: version w is the most stable and version x is the least stable.